Gd2CoSn | PBE | relaxed

Lattice parameters (Å, degrees): 3.934 6.051 6.051 42.44 90.00 90.00
Sites, in units of the cell vectors:
Co  0.000  0.410  0.410
Gd  0.000  0.160  0.160
Gd  0.500  0.863  0.863
Sn  0.500  0.567  0.567

Computed properties:
The space group is Amm2 (38). The raw total energy comes out at -21.9 eV per cell.

---

Gd2CoSn6 | PBE | relaxed

Lattice parameters (Å, degrees): 11.670 11.670 4.449 90.00 90.00 158.52
Sites, in units of the cell vectors:
Gd  0.677  0.323  0.500
Gd  0.323  0.677  0.500
Co  0.000  0.000  0.000
Sn  0.206  0.794  0.000
Sn  0.067  0.933  0.500
Sn  0.568  0.432  0.000
Sn  0.933  0.067  0.500
Sn  0.794  0.206  0.000
Sn  0.432  0.568  0.000

Computed properties:
The space group is Cmmm (65). The raw total energy comes out at -44.4 eV per cell.

---

GdTmCo2Sn | PBE | relaxed

Lattice parameters (Å, degrees): 3.822 7.126 7.126 31.07 90.00 90.00
Last column: magnetic moment on the atom in μB.
Sites, in units of the cell vectors:
Co  0.500  0.201  0.201  0.75
Co  0.500  0.796  0.796  0.74
Sn  0.500  0.002  0.002  -0.02
Tm  0.000  0.639  0.639  -0.12
Gd  0.000  0.362  0.362  -0.10

Computed properties:
The space group is Amm2 (38). The raw total energy comes out at -29.5 eV per cell.

---

GdYCo2Sn | PBE | relaxed

Lattice parameters (Å, degrees): 3.863 7.177 7.177 30.97 90.00 90.00
Last column: magnetic moment on the atom in μB.
Sites, in units of the cell vectors:
Co  0.500  0.204  0.204  0.83
Co  0.500  0.795  0.795  0.84
Y  0.000  0.364  0.364  -0.09
Sn  0.500  0.999  0.999  -0.02
Gd  0.000  0.637  0.637  -0.12

Computed properties:
The space group is Amm2 (38). The raw total energy comes out at -31.4 eV per cell.

---

> The lowest raw total energy belongs to which entry?

Gd2CoSn6